[1]
Below is an optimized crystal structure of SmHF, with properties calculated at the PBE-GGA level.

Unit cell a=3.2340 b=3.6003 c=3.7441 alpha=90.00 beta=90.00 gamma=90.00
Space group Pmmm (No. 47)
Symmetry-distinct sites (fractional):
Sm (0.0000, 0.0000, 0.0000) (multiplicity 1)
H (0.5000, 0.5000, 0.0000) (multiplicity 1)
F (0.5000, 0.0000, 0.5000) (multiplicity 1)

For the density of states at the Fermi level, the calculation gives 1.34 states/eV per cell. The calculated volume is 44 Å³/cell. For the energy above the lowest structure with this stoichiometry, the calculation gives 214 meV per atom.

[2]
Below is an optimized crystal structure of SmH2F6, with properties calculated at the PBE-GGA level.

Unit cell a=9.0329 b=8.3163 c=5.8037 alpha=90.00 beta=114.21 gamma=90.00
Space group C2/c (No. 15)
Symmetry-distinct sites (fractional):
Sm (0.0000, 0.1963, 0.2500) (multiplicity 4)
H (0.1604, 0.4791, 0.0551) (multiplicity 8)
F (0.0805, 0.0923, 0.6769) (multiplicity 8)
F (0.1049, 0.3620, 0.0398) (multiplicity 8)
F (0.2134, 0.3845, 0.5527) (multiplicity 8)

The calculated volume is 398 Å³/cell. For the energy above the lowest structure with this stoichiometry, the calculation gives 29 meV per atom.

[3]
Below is an optimized crystal structure of SmH2F6, with properties calculated at the PBE-GGA level.

Unit cell a=6.2878 b=11.2232 c=7.2076 alpha=90.00 beta=110.37 gamma=90.00
Space group C2/c (No. 15)
Symmetry-distinct sites (fractional):
Sm (0.0000, 0.2050, 0.2500) (multiplicity 4)
H (0.2224, 0.0403, 0.6466) (multiplicity 8)
F (0.1334, 0.2988, 0.0252) (multiplicity 8)
F (0.2040, 0.0420, 0.2048) (multiplicity 8)
F (0.2455, 0.1433, 0.5733) (multiplicity 8)

The calculated volume is 477 Å³/cell. For the energy above the lowest structure with this stoichiometry, the calculation gives 0 meV per atom.

[4]
Below is an optimized crystal structure of SmHF, with properties calculated at the PBE-GGA level.

Unit cell a=5.5687 b=5.5687 c=5.5687 alpha=90.00 beta=90.00 gamma=90.00
Space group F-43m (No. 216)
Symmetry-distinct sites (fractional):
Sm (0.0000, 0.0000, 0.0000) (multiplicity 4)
H (0.2500, 0.2500, 0.7500) (multiplicity 4)
F (0.2500, 0.2500, 0.2500) (multiplicity 4)

For the density of states at the Fermi level, the calculation gives 7.22 states/eV per cell. The calculated volume is 173 Å³/cell. For the energy above the lowest structure with this stoichiometry, the calculation gives 0 meV per atom.

[5]
Below is an optimized crystal structure of Sn2H2F3, with properties calculated at the PBE-GGA level.

Unit cell a=3.9906 b=4.5145 c=7.0021 alpha=97.56 beta=90.56 gamma=96.31
Space group P-1 (No. 2)
Symmetry-distinct sites (fractional):
Sn (0.0208, 0.2381, 0.2388) (multiplicity 2)
H (0.4758, 0.7406, 0.7606) (multiplicity 2)
F (0.0000, 0.0000, 0.5000) (multiplicity 1)
F (0.0273, 0.2193, 0.8991) (multiplicity 2)

For the density of states at the Fermi level, the calculation gives 0.60 states/eV per cell. The value obtained for the total DFT energy (no corrections) is -29.185 eV per cell. The calculated volume is 124 Å³/cell.

[6]
Below is an optimized crystal structure of SnH2F4, with properties calculated at the PBE-GGA level.

Unit cell a=4.6248 b=4.6248 c=10.1289 alpha=90.00 beta=90.00 gamma=90.00
Space group I4/mmm (No. 139)
Symmetry-distinct sites (fractional):
Sn (0.0000, 0.0000, 0.0000) (multiplicity 2)
H (0.0000, 0.0000, 0.3613) (multiplicity 4)
F (0.0000, 0.0000, 0.2680) (multiplicity 4)
F (0.0000, 0.5000, 0.0000) (multiplicity 4)

For the density of states at the Fermi level, the calculation gives 0.00 states/eV per cell. The calculated volume is 217 Å³/cell. For the energy above the lowest structure with this stoichiometry, the calculation gives 164 meV per atom.